No. 1
The following is a DFT calculation (PBE) of a relaxed Nd4DyHo crystal.

The structure in CIF format:
```
data_Nd4DyHo
_space_group_name_H-M_alt 'C m m m'
_space_group_IT_number 65
_space_group_name_Hall '-C 2 2'
_cell_length_a 11.734
_cell_length_b 11.737
_cell_length_c 3.488
_cell_angle_alpha 90.00
_cell_angle_beta 90.00
_cell_angle_gamma 90.00
loop_
_atom_site_label
_atom_site_fract_x
_atom_site_fract_y
_atom_site_fract_z
Nd1 0.000 0.239 0.000
Nd2 0.239 0.500 0.500
Dy1 0.000 0.500 0.000
Ho1 0.000 0.000 0.500
```

***

No. 2
The following is a DFT calculation (PBE) of a relaxed NdDy3Ho7 crystal.

The structure in CIF format:
```
data_NdDy3Ho7
_space_group_name_H-M_alt 'P 3 m 1'
_space_group_IT_number 156
_space_group_name_Hall 'P 3 -2"'
_cell_length_a 7.0307
_cell_length_b 7.0307
_cell_length_c 8.5822
_cell_angle_alpha 90.00
_cell_angle_beta 90.00
_cell_angle_gamma 120.00
loop_
_atom_site_label
_atom_site_fract_x
_atom_site_fract_y
_atom_site_fract_z
Nd1 0.0000 0.0000 0.0000
Dy1 0.1672 0.3344 0.6620
Ho1 0.0025 0.5012 0.9984
Ho2 0.3313 0.1657 0.3298
Ho3 0.3333 0.6667 0.3273
```

***

No. 3
The following is a DFT calculation (PBE) of a relaxed NdDy3Ho5 crystal.

The structure in CIF format:
```
data_NdDy3Ho5
_space_group_name_H-M_alt 'C 1 2/c 1'
_space_group_IT_number 15
_space_group_name_Hall '-C 2yc'
_cell_length_a 19.019
_cell_length_b 6.039
_cell_length_c 11.342
_cell_angle_alpha 90.00
_cell_angle_beta 113.43
_cell_angle_gamma 90.00
loop_
_atom_site_label
_atom_site_fract_x
_atom_site_fract_y
_atom_site_fract_z
Nd1 0.000 0.064 0.250
Dy1 0.000 0.000 0.000
Dy2 0.177 0.235 0.363
Ho1 0.000 0.439 0.750
Ho2 0.163 0.256 0.696
Ho3 0.169 0.254 0.029
```

***

No. 4
The following is a DFT calculation (PBE) of a relaxed Nd2Dy12Ho crystal.

The structure in CIF format:
```
data_Nd2Dy12Ho
_space_group_name_H-M_alt 'P 4/n b m'
_space_group_IT_number 125
_cell_length_a 6.422
_cell_length_b 6.422
_cell_length_c 24.970
_cell_angle_alpha 90.00
_cell_angle_beta 90.00
_cell_angle_gamma 90.00
loop_
_space_group_symop_operation_xyz
'x,y,z'
'-x,-y,-z'
'-y+1/2,x,z'
'y+1/2,-x,-z'
'-x+1/2,-y+1/2,z'
'x+1/2,y+1/2,-z'
'y,-x+1/2,z'
'-y,x+1/2,-z'
'x,-y+1/2,-z'
'-x,y+1/2,z'
'-y+1/2,-x+1/2,-z'
'y+1/2,x+1/2,z'
'-x+1/2,y,-z'
'x+1/2,-y,z'
'y,x,-z'
'-y,-x,z'
loop_
_atom_site_label
_atom_site_fract_x
_atom_site_fract_y
_atom_site_fract_z
Nd1 0.250 0.750 0.230
Dy1 0.064 0.564 0.385
Dy2 0.081 0.581 0.939
Dy3 0.250 0.250 0.160
Dy4 0.250 0.250 0.285
Ho1 0.250 0.750 0.500
```

***

No. 5
The following is a DFT calculation (PBE) of a relaxed Nd4Dy4Ho5 crystal.

The structure in CIF format:
```
data_Nd4Dy4Ho5
_space_group_name_H-M_alt 'I 4/m'
_space_group_IT_number 87
_space_group_name_Hall '-I 4'
_cell_length_a 12.913
_cell_length_b 12.913
_cell_length_c 5.048
_cell_angle_alpha 90.00
_cell_angle_beta 90.00
_cell_angle_gamma 90.00
loop_
_atom_site_label
_atom_site_fract_x
_atom_site_fract_y
_atom_site_fract_z
Nd1 0.079 0.382 0.000
Dy1 0.153 0.771 0.000
Ho1 0.000 0.000 0.000
Ho2 0.039 0.189 0.500
```

***

No. 6
The following is a DFT calculation (PBE) of a relaxed NdDy7Ho12 crystal.

The structure in CIF format:
```
data_NdDy7Ho12
_space_group_name_H-M_alt 'R -3'
_space_group_IT_number 148
_space_group_name_Hall '-R 3'
_cell_length_a 12.7756
_cell_length_b 12.7756
_cell_length_c 13.5685
_cell_angle_alpha 90.00
_cell_angle_beta 90.00
_cell_angle_gamma 120.00
loop_
_atom_site_label
_atom_site_fract_x
_atom_site_fract_y
_atom_site_fract_z
Nd1 0.0000 0.0000 0.0000
Dy1 0.0000 0.0000 0.5000
Dy2 0.0682 0.8660 0.8506
Ho1 0.0038 0.4368 0.2470
Ho2 0.0683 0.1993 0.3452
```

***

No. 7
The following is a DFT calculation (PBE) of a relaxed Nd4Dy7Ho crystal.

The structure in CIF format:
```
data_Nd4Dy7Ho
_space_group_name_H-M_alt 'C 1 2/m 1'
_space_group_IT_number 12
_space_group_name_Hall '-C 2y'
_cell_length_a 12.110
_cell_length_b 5.935
_cell_length_c 12.834
_cell_angle_alpha 90.00
_cell_angle_beta 118.08
_cell_angle_gamma 90.00
loop_
_atom_site_label
_atom_site_fract_x
_atom_site_fract_y
_atom_site_fract_z
Nd1 0.055 0.000 0.335
Nd2 0.137 0.500 0.777
Dy1 0.000 0.000 0.000
Dy2 0.137 0.500 0.506
Dy3 0.212 0.000 0.924
Dy4 0.240 0.500 0.310
Ho1 0.000 0.500 0.000
```

***

No. 8
The following is a DFT calculation (PBE) of a relaxed NdDyHo14 crystal.

The structure in CIF format:
```
data_NdDyHo14
_space_group_name_H-M_alt 'A m m 2'
_space_group_IT_number 38
_space_group_name_Hall 'A 2 -2'
_cell_length_a 11.420
_cell_length_b 7.102
_cell_length_c 12.299
_cell_angle_alpha 90.00
_cell_angle_beta 90.00
_cell_angle_gamma 90.00
loop_
_atom_site_label
_atom_site_fract_x
_atom_site_fract_y
_atom_site_fract_z
Nd1 0.000 0.000 0.000
Dy1 0.000 0.000 0.500
Ho1 0.000 0.250 0.250
Ho2 0.250 0.000 0.667
Ho3 0.252 0.000 0.167
Ho4 0.252 0.250 0.417
Ho5 0.500 0.000 0.334
Ho6 0.500 0.000 0.834
Ho7 0.500 0.250 0.084
```

***

No. 9
The following is a DFT calculation (PBE) of a relaxed NdDy5Ho12 crystal.

The structure in CIF format:
```
data_NdDy5Ho12
_space_group_name_H-M_alt 'C 1 2/m 1'
_space_group_IT_number 12
_space_group_name_Hall '-C 2y'
_cell_length_a 18.366
_cell_length_b 10.600
_cell_length_c 6.125
_cell_angle_alpha 90.00
_cell_angle_beta 109.32
_cell_angle_gamma 90.00
loop_
_atom_site_label
_atom_site_fract_x
_atom_site_fract_y
_atom_site_fract_z
Nd1 0.000 0.000 0.000
Dy1 0.000 0.500 0.500
Dy2 0.167 0.000 0.501
Dy3 0.167 0.500 0.000
Ho1 0.000 0.168 0.500
Ho2 0.000 0.334 0.000
Ho3 0.167 0.167 0.000
Ho4 0.167 0.333 0.499
```

***

No. 10
The following is a DFT calculation (PBE) of a relaxed NdDy2Ho8 crystal.

The structure in CIF format:
```
data_NdDy2Ho8
_space_group_name_H-M_alt 'C 1 2/m 1'
_space_group_IT_number 12
_space_group_name_Hall '-C 2y'
_cell_length_a 19.047
_cell_length_b 6.916
_cell_length_c 5.510
_cell_angle_alpha 90.00
_cell_angle_beta 92.86
_cell_angle_gamma 90.00
loop_
_atom_site_label
_atom_site_fract_x
_atom_site_fract_y
_atom_site_fract_z
Nd1 0.000 0.000 0.000
Dy1 0.216 0.500 0.250
Ho1 0.047 0.500 0.238
Ho2 0.133 0.266 0.732
Ho3 0.188 0.000 0.234
```

***

No. 11
The following is a DFT calculation (PBE) of a relaxed Nd4Dy5Ho crystal.

The structure in CIF format:
```
data_Nd4Dy5Ho
_space_group_name_H-M_alt 'I 4 m m'
_space_group_IT_number 107
_space_group_name_Hall 'I 4 -2'
_cell_length_a 10.681
_cell_length_b 10.681
_cell_length_c 5.983
_cell_angle_alpha 90.00
_cell_angle_beta 90.00
_cell_angle_gamma 90.00
loop_
_atom_site_label
_atom_site_fract_x
_atom_site_fract_y
_atom_site_fract_z
Nd1 0.000 0.323 0.000
Dy1 0.000 0.000 0.759
Dy2 0.189 0.189 0.496
Ho1 0.000 0.000 0.234
```

***

No. 12
The following is a DFT calculation (PBE) of a relaxed Nd6Dy16Ho7 crystal.

The structure in CIF format:
```
data_Nd6Dy16Ho7
_space_group_name_H-M_alt 'F m -3 m'
_space_group_IT_number 225
_space_group_name_Hall '-F 4 2 3'
_cell_length_a 15.784
_cell_length_b 15.784
_cell_length_c 15.784
_cell_angle_alpha 90.00
_cell_angle_beta 90.00
_cell_angle_gamma 90.00
loop_
_atom_site_label
_atom_site_fract_x
_atom_site_fract_y
_atom_site_fract_z
Nd1 0.000 0.000 0.226
Dy1 0.126 0.126 0.374
Dy2 0.151 0.151 0.151
Ho1 0.000 0.000 0.500
Ho2 0.000 0.250 0.250
```

***

Raw total energy (eV/cell)
-49.165; -48.475; -153.740; -128.805; -120.240; -257.546; -105.284; -146.735; -164.704; -97.876; -88.576; -509.911
ΔE_f (meV per atom)
611; 195; 336; 329; 19; 303; 268; 6; 20; 151; 237; 235
Spin magnetization (μB per formula unit)
0.0; 0.0; 0.0; 0.0; 0.0; 0.0; 0.0; 0.0; 0.0; 0.0; 0.0; 0.0